Entry 1:
VASP calculation (PBE-GGA) on a relaxed structure of ZnNi2Hg.

Unit cell a=6.081 b=6.081 c=6.081 alpha=90.00 beta=90.00 gamma=90.00
Sites, in units of the cell vectors:
Zn 0.000 0.000 0.000
Zn 0.000 0.500 0.500
Zn 0.500 0.000 0.500
Zn 0.500 0.500 0.000
Ni 0.250 0.250 0.250
Ni 0.250 0.250 0.750
Ni 0.250 0.750 0.250
Ni 0.250 0.750 0.750
Ni 0.750 0.250 0.250
Ni 0.750 0.250 0.750
Ni 0.750 0.750 0.250
Ni 0.750 0.750 0.750
Hg 0.000 0.000 0.500
Hg 0.000 0.500 0.000
Hg 0.500 0.000 0.000
Hg 0.500 0.500 0.500

Values from the calculation:
energy of formation: 0.049 eV per atom
E: -3.236 eV per atom

=====

Entry 2:
VASP calculation (PBE-GGA) on a relaxed structure of Zn2NiHg.

Unit cell a=9.384 b=2.995 c=4.642 alpha=90.00 beta=108.24 gamma=90.00
Sites, in units of the cell vectors:
Zn 0.226 0.000 0.213
Zn 0.274 0.500 0.787
Zn 0.726 0.500 0.213
Zn 0.774 0.000 0.787
Ni 0.000 0.500 0.000
Ni 0.500 0.000 0.000
Hg 0.000 0.000 0.500
Hg 0.500 0.500 0.500

Values from the calculation:
energy of formation: 0.047 eV per atom
E: -2.111 eV per atom

=====

Entry 3:
VASP calculation (PBE-GGA) on a relaxed structure of Zn2NiHg.

Unit cell a=2.915 b=2.952 c=7.365 alpha=90.00 beta=90.57 gamma=90.00
Sites, in units of the cell vectors:
Zn 0.005 0.000 0.193
Zn 0.995 0.000 0.807
Ni 0.500 0.500 0.000
Hg 0.500 0.500 0.500

Values from the calculation:
energy of formation: -0.023 eV per atom
E: -2.181 eV per atom

=====

| no. | N(E_F) (states/eV per cell) |
| --- | --- |
| 1 | 9.751 |
| 2 | 1.895 |
| 3 | 1.134 |